*i*
The following is a DFT calculation (PBE) of crystalline AlInIr3 at its relaxed geometry.

```
data_AlInIr3
_symmetry_space_group_name_H-M 'P m -3 m'
_symmetry_Int_Tables_number 221
_symmetry_space_group_name_Hall '-P 4 2 3'
_cell_length_a 4.489
_cell_length_b 4.489
_cell_length_c 4.489
_cell_angle_alpha 90.00
_cell_angle_beta 90.00
_cell_angle_gamma 90.00
loop_
_atom_site_label
_atom_site_fract_x
_atom_site_fract_y
_atom_site_fract_z
Al1 0.000 0.000 0.000
In1 0.500 0.500 0.500
Ir1 0.000 0.000 0.500
```

Output
- Calculated volume: 18.1 Å³/atom

---

*ii*
The following is a DFT calculation (PBE) of crystalline AlInIr3 at its relaxed geometry.

```
data_AlInIr3
_symmetry_space_group_name_H-M 'P m -3 m'
_symmetry_Int_Tables_number 221
_symmetry_space_group_name_Hall '-P 4 2 3'
_cell_length_a 4.819
_cell_length_b 4.819
_cell_length_c 4.819
_cell_angle_alpha 90.00
_cell_angle_beta 90.00
_cell_angle_gamma 90.00
loop_
_atom_site_label
_atom_site_fract_x
_atom_site_fract_y
_atom_site_fract_z
Al1 0.000 0.000 0.000
In1 0.500 0.500 0.500
Ir1 0.000 0.500 0.500
```

Output
- Calculated volume: 22.4 Å³/atom

---

Most stable to least stable, the ends of the list are *i* and *ii*.

---

*i*
The following is a DFT calculation (PBE) of crystalline KAlIn at its relaxed geometry.

```
data_KAlIn
_symmetry_space_group_name_H-M 'I m m 2'
_symmetry_Int_Tables_number 44
_cell_length_a 3.227
_cell_length_b 4.427
_cell_length_c 12.675
_cell_angle_alpha 90.00
_cell_angle_beta 90.00
_cell_angle_gamma 90.00
loop_
_symmetry_equiv_pos_as_xyz
'x,y,z'
'-x,-y,z'
'-x,y,z'
'x,-y,z'
'x+1/2,y+1/2,z+1/2'
'-x+1/2,-y+1/2,z+1/2'
'-x+1/2,y+1/2,z+1/2'
'x+1/2,-y+1/2,z+1/2'
loop_
_atom_site_label
_atom_site_fract_x
_atom_site_fract_y
_atom_site_fract_z
K1 0.000 0.000 0.000
Al1 0.000 0.000 0.701
In1 0.000 0.000 0.294
```

Output
- Calculated volume: 30.2 Å³/atom

---

*ii*
The following is a DFT calculation (PBE) of crystalline KAlIn at its relaxed geometry.

```
data_KAlIn
_symmetry_space_group_name_H-M 'P 3 m 1'
_symmetry_Int_Tables_number 156
_cell_length_a 3.4306
_cell_length_b 3.4306
_cell_length_c 8.3781
_cell_angle_alpha 90.00
_cell_angle_beta 90.00
_cell_angle_gamma 120.00
loop_
_symmetry_equiv_pos_as_xyz
'x,y,z'
'-y,x-y,z'
'-x+y,-x,z'
'-y,-x,z'
'-x+y,y,z'
'x,x-y,z'
loop_
_atom_site_label
_atom_site_fract_x
_atom_site_fract_y
_atom_site_fract_z
K1 0.0000 0.0000 0.0000
Al1 0.6667 0.3333 0.3488
In1 0.3333 0.6667 0.6361
```

Output
- Calculated volume: 28.5 Å³/atom

---

Most stable to least stable, the ends of the list are *i* and *ii*.

---

*i*
The following is a DFT calculation (PBE) of crystalline KAl2In2 at its relaxed geometry.

```
data_KAl2In2
_symmetry_space_group_name_H-M 'P 4/m b m'
_symmetry_Int_Tables_number 127
_symmetry_space_group_name_Hall '-P 4 2ab'
_cell_length_a 8.944
_cell_length_b 8.944
_cell_length_c 3.186
_cell_angle_alpha 90.00
_cell_angle_beta 90.00
_cell_angle_gamma 90.00
loop_
_atom_site_label
_atom_site_fract_x
_atom_site_fract_y
_atom_site_fract_z
K1 0.000 0.000 0.000
Al1 0.146 0.354 0.500
In1 0.143 0.643 0.000
```

Output
- Calculated volume: 25.5 Å³/atom

---

*ii*
The following is a DFT calculation (PBE) of crystalline KAl2In2 at its relaxed geometry.

```
data_KAl2In2
_symmetry_space_group_name_H-M 'P 4/m b m'
_symmetry_Int_Tables_number 127
_symmetry_space_group_name_Hall '-P 4 2ab'
_cell_length_a 8.674
_cell_length_b 8.674
_cell_length_c 3.401
_cell_angle_alpha 90.00
_cell_angle_beta 90.00
_cell_angle_gamma 90.00
loop_
_atom_site_label
_atom_site_fract_x
_atom_site_fract_y
_atom_site_fract_z
K1 0.000 0.000 0.000
Al1 0.123 0.377 0.000
In1 0.164 0.664 0.500
```

Output
- Calculated volume: 25.6 Å³/atom

---

Most stable to least stable, the ends of the list are *ii* and *i*.

---

*i*
The following is a DFT calculation (PBE) of crystalline KAlIn3 at its relaxed geometry.

```
data_KAlIn3
_symmetry_space_group_name_H-M 'P m -3 m'
_symmetry_Int_Tables_number 221
_symmetry_space_group_name_Hall '-P 4 2 3'
_cell_length_a 5.496
_cell_length_b 5.496
_cell_length_c 5.496
_cell_angle_alpha 90.00
_cell_angle_beta 90.00
_cell_angle_gamma 90.00
loop_
_atom_site_label
_atom_site_fract_x
_atom_site_fract_y
_atom_site_fract_z
K1 0.000 0.000 0.000
Al1 0.500 0.500 0.500
In1 0.000 0.500 0.500
```

Output
- Calculated volume: 33.2 Å³/atom

---

*ii*
The following is a DFT calculation (PBE) of crystalline KAlIn3 at its relaxed geometry.

```
data_KAlIn3
_symmetry_space_group_name_H-M 'P m -3 m'
_symmetry_Int_Tables_number 221
_symmetry_space_group_name_Hall '-P 4 2 3'
_cell_length_a 6.024
_cell_length_b 6.024
_cell_length_c 6.024
_cell_angle_alpha 90.00
_cell_angle_beta 90.00
_cell_angle_gamma 90.00
loop_
_atom_site_label
_atom_site_fract_x
_atom_site_fract_y
_atom_site_fract_z
K1 0.000 0.000 0.000
Al1 0.500 0.500 0.500
In1 0.000 0.000 0.500
```

Output
- Calculated volume: 43.7 Å³/atom

---

Most stable to least stable, the ends of the list are *i* and *ii*.

---

*i*
The following is a DFT calculation (PBE) of crystalline K2RbAlIn at its relaxed geometry.

```
data_K2RbAlIn
_symmetry_space_group_name_H-M 'P 4/m m m'
_symmetry_Int_Tables_number 123
_symmetry_space_group_name_Hall '-P 4 2'
_cell_length_a 6.656
_cell_length_b 6.656
_cell_length_c 6.837
_cell_angle_alpha 90.00
_cell_angle_beta 90.00
_cell_angle_gamma 90.00
loop_
_atom_site_label
_atom_site_fract_x
_atom_site_fract_y
_atom_site_fract_z
K1 0.000 0.500 0.000
Rb1 0.000 0.000 0.500
Al1 0.000 0.000 0.000
In1 0.500 0.500 0.500
```

Output
- Calculated volume: 60.6 Å³/atom

---

*ii*
The following is a DFT calculation (PBE) of crystalline K2RbAlIn at its relaxed geometry.

```
data_K2RbAlIn
_symmetry_space_group_name_H-M 'P 4/m m m'
_symmetry_Int_Tables_number 123
_symmetry_space_group_name_Hall '-P 4 2'
_cell_length_a 6.888
_cell_length_b 6.888
_cell_length_c 5.262
_cell_angle_alpha 90.00
_cell_angle_beta 90.00
_cell_angle_gamma 90.00
loop_
_atom_site_label
_atom_site_fract_x
_atom_site_fract_y
_atom_site_fract_z
K1 0.000 0.500 0.000
Rb1 0.000 0.000 0.500
Al1 0.500 0.500 0.000
In1 0.500 0.500 0.500
```

Output
- Calculated volume: 49.9 Å³/atom

---

Most stable to least stable, the ends of the list are *ii* and *i*.

---

*i*
The following is a DFT calculation (PBE) of crystalline La6AlIn at its relaxed geometry.

```
data_La6AlIn
_symmetry_space_group_name_H-M 'P -1'
_symmetry_Int_Tables_number 2
_cell_length_a 6.195
_cell_length_b 6.497
_cell_length_c 6.528
_cell_angle_alpha 103.90
_cell_angle_beta 90.29
_cell_angle_gamma 90.54
loop_
_symmetry_equiv_pos_as_xyz
'x,y,z'
'-x,-y,-z'
loop_
_atom_site_label
_atom_site_fract_x
_atom_site_fract_y
_atom_site_fract_z
La1 0.232 0.144 0.147
La2 0.243 0.009 0.612
La3 0.245 0.612 0.008
Al1 0.000 0.500 0.500
In1 0.500 0.500 0.500
```

Output
- Calculated volume: 31.9 Å³/atom

---

*ii*
The following is a DFT calculation (PBE) of crystalline La6AlIn at its relaxed geometry.

```
data_La6AlIn
_symmetry_space_group_name_H-M 'P 4/m m m'
_symmetry_Int_Tables_number 123
_symmetry_space_group_name_Hall '-P 4 2'
_cell_length_a 5.017
_cell_length_b 5.017
_cell_length_c 10.025
_cell_angle_alpha 90.00
_cell_angle_beta 90.00
_cell_angle_gamma 90.00
loop_
_atom_site_label
_atom_site_fract_x
_atom_site_fract_y
_atom_site_fract_z
La1 0.000 0.000 0.000
La2 0.000 0.000 0.500
La3 0.000 0.500 0.244
Al1 0.500 0.500 0.000
In1 0.500 0.500 0.500
```

Output
- Calculated volume: 31.5 Å³/atom

---

Most stable to least stable, the ends of the list are *ii* and *i*.

---

*i*
The following is a DFT calculation (PBE) of crystalline La4AlIn at its relaxed geometry.

```
data_La4AlIn
_symmetry_space_group_name_H-M 'C 1 2/m 1'
_symmetry_Int_Tables_number 12
_cell_length_a 11.569
_cell_length_b 3.721
_cell_length_c 9.240
_cell_angle_alpha 90.00
_cell_angle_beta 113.53
_cell_angle_gamma 90.00
loop_
_symmetry_equiv_pos_as_xyz
'x,y,z'
'-x,-y,-z'
'-x,y,-z'
'x,-y,z'
'x+1/2,y+1/2,z'
'-x+1/2,-y+1/2,-z'
'-x+1/2,y+1/2,-z'
'x+1/2,-y+1/2,z'
loop_
_atom_site_label
_atom_site_fract_x
_atom_site_fract_y
_atom_site_fract_z
La1 0.149 0.000 0.334
La2 0.152 0.000 0.817
Al1 0.000 0.500 0.500
In1 0.000 0.500 0.000
```

Output
- Calculated volume: 30.4 Å³/atom

---

*ii*
The following is a DFT calculation (PBE) of crystalline La4AlIn at its relaxed geometry.

```
data_La4AlIn
_symmetry_space_group_name_H-M 'C 1 2/m 1'
_symmetry_Int_Tables_number 12
_cell_length_a 9.203
_cell_length_b 5.329
_cell_length_c 9.359
_cell_angle_alpha 90.00
_cell_angle_beta 109.24
_cell_angle_gamma 90.00
loop_
_symmetry_equiv_pos_as_xyz
'x,y,z'
'-x,-y,-z'
'-x,y,-z'
'x,-y,z'
'x+1/2,y+1/2,z'
'-x+1/2,-y+1/2,-z'
'-x+1/2,y+1/2,-z'
'x+1/2,-y+1/2,z'
loop_
_atom_site_label
_atom_site_fract_x
_atom_site_fract_y
_atom_site_fract_z
La1 0.120 0.000 0.361
La2 0.128 0.500 0.885
Al1 0.000 0.000 0.000
In1 0.000 0.500 0.500
```

Output
- Calculated volume: 36.1 Å³/atom

---

Most stable to least stable, the ends of the list are *i* and *ii*.